{"formula": "TmBr2O2", "functional": "PBE-GGA", "state": "relaxed", "lattice": [[6.881, 0.000, 0.000], [3.129, 6.149, 0.000], [2.862, 1.498, 6.260]], "species": ["Tm", "Tm", "Br", "Br", "Br", "Br", "O", "O", "O", "O"], "fractional_positions": [[0.166, 0.166, 0.499], [0.834, 0.834, 0.501], [0.012, 0.572, 0.217], [0.416, 0.859, 0.787], [0.584, 0.141, 0.213], [0.988, 0.428, 0.783], [0.091, 0.021, 0.296], [0.190, 0.844, 0.438], [0.810, 0.156, 0.562], [0.909, 0.979, 0.704]], "spacegroup": "P-1 (2)", "e_tot_ev_per_fu": -25.2, "m_tot_mub_per_fu": 0.002}

{"formula": "ZrH", "functional": "PBE-GGA", "state": "relaxed", "lattice": [[0.000, 2.371, 2.371], [2.371, 0.000, 2.371], [2.371, 2.371, 0.000]], "species": ["Zr", "H"], "fractional_positions": [[0.000, 0.000, 0.000], [0.250, 0.250, 0.250]], "spacegroup": "F-43m (216)", "e_tot_ev_per_fu": -12.6, "m_tot_mub_per_fu": 0.006}

{"formula": "Lu4InBiN2", "functional": "PBE-GGA", "state": "relaxed", "lattice": [[3.472, 0.000, 0.000], [-1.736, 3.007, 0.000], [0.000, 0.000, 15.098]], "species": ["Lu", "Lu", "Lu", "Lu", "In", "Bi", "N", "N"], "fractional_positions": [[0.000, 0.000, 0.166], [0.000, 0.000, 0.834], [0.333, 0.667, 0.333], [0.333, 0.667, 0.667], [0.333, 0.667, 0.000], [0.000, 0.000, 0.500], [0.667, 0.333, 0.253], [0.667, 0.333, 0.747]], "spacegroup": "P-6m2 (187)", "e_tot_ev_per_fu": -50.3, "m_tot_mub_per_fu": 0.002}

{"formula": "CuTcHgBi", "functional": "PBE-GGA", "state": "relaxed", "lattice": [[0.000, 3.351, 3.351], [3.351, 0.000, 3.351], [3.351, 3.351, 0.000]], "species": ["Cu", "Tc", "Hg", "Bi"], "fractional_positions": [[0.000, 0.000, 0.000], [0.500, 0.500, 0.500], [0.750, 0.750, 0.750], [0.250, 0.250, 0.250]], "spacegroup": "F-43m (216)", "m_tot_mub_per_fu": 0.446, "relative_energy_mev_per_atom": 0}